Entry 1:
Crystalline Sr2LiSb at its relaxed geometry. Source: Alexandria via LeMat-Bulk, functional PBE-GGA.

a b c (Å): 4.7800 6.6449 6.6449
angles (deg): 41.39 90.00 90.00
Atoms (fractional coordinates):
Sr 0.0000 0.0000 0.0000
Sr 0.5000 0.2843 0.2843
Li 0.0000 0.6939 0.6939
Sb 0.5000 0.5699 0.5699

Output
symmetry	Amm2 (38)
crystal system	orthorhombic

Entry 2:
Crystalline SrLiSb4 at its relaxed geometry. Source: Alexandria via LeMat-Bulk, functional PBE-GGA.

a b c (Å): 6.3851 6.3851 6.3851
angles (deg): 60.00 60.00 60.00
Atoms (fractional coordinates):
Sr 0.0000 0.0000 0.0000
Li 0.7500 0.7500 0.7500
Sb 0.3757 0.3757 0.3757
Sb 0.3757 0.3757 0.8728
Sb 0.3757 0.8728 0.3757
Sb 0.8728 0.3757 0.3757

Output
symmetry	F-43m (216)
crystal system	cubic

Entry 3:
Crystalline Sr2LiSb at its relaxed geometry. Source: Alexandria via LeMat-Bulk, functional PBE-GGA.

a b c (Å): 8.4585 8.4585 8.4585
angles (deg): 32.07 32.07 32.07
Atoms (fractional coordinates):
Sr 0.0000 0.0000 0.0000
Sr 0.1841 0.1841 0.1841
Li 0.7595 0.7595 0.7595
Sb 0.4240 0.4240 0.4240

Output
symmetry	R3m (160)
crystal system	trigonal

Entry 4:
Crystalline Sr2LiSb at its relaxed geometry. Source: Alexandria via LeMat-Bulk, functional PBE-GGA.

a b c (Å): 4.8960 4.8960 8.8903
angles (deg): 105.93 105.93 59.93
Atoms (fractional coordinates):
Sr 0.2325 0.2325 0.1976
Sr 0.7675 0.7675 0.8024
Li 0.0000 0.0000 0.5000
Sb 0.5000 0.5000 0.0000

Output
symmetry	C2/m (12)
crystal system	monoclinic

Entry 5:
Crystalline Sr2Li2Sb at its relaxed geometry. Source: Alexandria via LeMat-Bulk, functional PBE-GGA.

a b c (Å): 5.9497 5.9497 5.9497
angles (deg): 115.51 115.51 97.96
Atoms (fractional coordinates):
Sr 0.2500 0.7500 0.5000
Sr 0.7500 0.2500 0.5000
Li 0.1581 0.1581 0.0000
Li 0.8419 0.8419 0.0000
Sb 0.5000 0.5000 0.0000

Output
symmetry	I4/mmm (139)
crystal system	tetragonal

Entry 6:
Crystalline Sr2LiSb2 at its relaxed geometry. Source: Alexandria via LeMat-Bulk, functional PBE-GGA.

a b c (Å): 6.4190 6.4190 6.4190
angles (deg): 118.70 118.70 92.26
Atoms (fractional coordinates):
Sr 0.2500 0.7500 0.5000
Sr 0.7500 0.2500 0.5000
Li 0.0000 0.0000 0.0000
Sb 0.3207 0.3207 0.0000
Sb 0.6793 0.6793 0.0000

Output
symmetry	I4/mmm (139)
crystal system	tetragonal

Number 1: magnetization 0.000 μB per formula unit, E_form (uncorrected) -641.5 meV per atom. Number 2: magnetization 0.000 μB per formula unit, E_form (uncorrected) -240.2 meV per atom. Number 3: magnetization 0.004 μB per formula unit, E_form (uncorrected) -635.0 meV per atom. Number 4: magnetization 0.000 μB per formula unit, E_form (uncorrected) -443.0 meV per atom. Number 5: magnetization 0.000 μB per formula unit, E_form (uncorrected) -238.4 meV per atom. Number 6: magnetization 0.000 μB per formula unit, E_form (uncorrected) -501.7 meV per atom.